[1]
The following is a PBE calculation of BeCo2OsI after structural relaxation, from Alexandria via LeMat-Bulk.

Unit cell a=4.494 b=4.907 c=4.494 alpha=90.00 beta=90.00 gamma=90.00
Sites, in units of the cell vectors:
1 I 0.000 0.000 0.000
2 Co 0.000 0.000 0.500
3 Co 0.500 0.000 0.000
4 Os 0.000 0.500 0.000
5 Be 0.500 0.500 0.500

Output
Symmetry: No. 123

[2]
The following is a PBE calculation of BeCoSb2I after structural relaxation, from Alexandria via LeMat-Bulk.

Unit cell a=4.820 b=4.820 c=5.355 alpha=90.00 beta=90.00 gamma=90.00
Sites, in units of the cell vectors:
1 I 0.000 0.000 0.500
2 Sb 0.000 0.500 0.000
3 Sb 0.500 0.000 0.000
4 Co 0.500 0.500 0.500
5 Be 0.000 0.000 0.000

Output
Symmetry: No. 123

| no. | energy (eV/cell) | formation energy without anion corrections (eV per formula unit) | total magnetization (μB per formula unit) |
| --- | --- | --- | --- |
| 1 | -20.10 | 10.62 | 2.870 |
| 2 | -15.73 | 4.89 | 2.022 |